Density functional theory data (PBE+U) for B3WO after structural relaxation.

a = 3.5288 Å, b = 3.5288 Å, c = 3.5288 Å
α = 90.00°, β = 90.00°, γ = 90.00°
Space group Pm-3m (No. 221)
Unique sites:
B: 0.0000 0.0000 0.5000 (multiplicity 3)
W: 0.5000 0.5000 0.5000 (multiplicity 1)
O: 0.0000 0.0000 0.0000 (multiplicity 1)

Summary:
Final energy ... -26.22 eV per cell